No. 1
Compound: PmDyY2Ho6
Source: the Alexandria database
Functional: PBE
Structure: optimized geometry Values from VASP.

```
&SYSTEM
  ibrav = 0, nat = 20, ntyp = 4
/
ATOMIC_SPECIES
Pm 145.00 Pm.upf
Dy 162.50 Dy.upf
Y 88.91 Y.upf
Ho 164.93 Ho.upf
CELL_PARAMETERS angstrom
4.5485 -7.4880 0.0000
4.5485 7.4880 0.0000
-1.2161 0.0000 9.4517
ATOMIC_POSITIONS crystal
Pm 0.0924 0.9076 0.7500
Pm 0.9076 0.0924 0.2500
Dy 0.4736 0.5264 0.2500
Dy 0.5264 0.4736 0.7500
Y 0.2030 0.3055 0.9549
Y 0.3055 0.2030 0.4549
Y 0.6945 0.7970 0.5451
Y 0.7970 0.6945 0.0451
Ho 0.0090 0.7922 0.3809
Ho 0.0711 0.5230 0.1836
Ho 0.2078 0.9910 0.1191
Ho 0.2517 0.6205 0.5569
Ho 0.3795 0.7483 0.9431
Ho 0.4770 0.9289 0.3164
Ho 0.5230 0.0711 0.6836
Ho 0.6205 0.2517 0.0569
Ho 0.7483 0.3795 0.4431
Ho 0.7922 0.0090 0.8809
Ho 0.9289 0.4770 0.8164
Ho 0.9910 0.2078 0.6191
```

Values from the calculation:
- space-group type = C2/c (15)
- ΔE_f (kJ/mol of formula units) = 124

No. 2
Compound: CrTcPb2
Source: the Alexandria database
Functional: PBE
Structure: optimized geometry Values from VASP.

```
&SYSTEM
  ibrav = 0, nat = 12, ntyp = 3
/
ATOMIC_SPECIES
Cr 52.00 Cr.upf
Tc 98.00 Tc.upf
Pb 207.20 Pb.upf
CELL_PARAMETERS angstrom
3.3659 0.0000 0.0000
-1.6830 2.9150 0.0000
0.0000 0.0000 26.0818
ATOMIC_POSITIONS crystal
Cr 0.0000 0.0000 0.0000
Cr 0.3333 0.6667 0.6667
Cr 0.6667 0.3333 0.3333
Tc 0.0000 0.0000 0.5000
Tc 0.3333 0.6667 0.1667
Tc 0.6667 0.3333 0.8333
Pb 0.0000 0.0000 0.2456
Pb 0.0000 0.0000 0.7544
Pb 0.3333 0.6667 0.4210
Pb 0.3333 0.6667 0.9123
Pb 0.6667 0.3333 0.0877
Pb 0.6667 0.3333 0.5790
```

Values from the calculation:
- space-group type = R-3m (166)
- ΔE_f (kJ/mol of formula units) = 289
- relative energy among the computed polymorphs (eV per atom) = 0.423

No. 3
Compound: PmTmZnNi
Source: the Alexandria database
Functional: PBE
Structure: optimized geometry Values from VASP.

```
&SYSTEM
  ibrav = 0, nat = 16, ntyp = 4
/
ATOMIC_SPECIES
Pm 145.00 Pm.upf
Tm 168.93 Tm.upf
Zn 65.41 Zn.upf
Ni 58.69 Ni.upf
CELL_PARAMETERS angstrom
6.9940 0.0000 0.0000
0.0000 6.9940 0.0000
0.0000 0.0000 6.9940
ATOMIC_POSITIONS crystal
Pm 0.0000 0.0000 0.0000
Pm 0.0000 0.5000 0.5000
Pm 0.5000 0.0000 0.5000
Pm 0.5000 0.5000 0.0000
Tm 0.0000 0.0000 0.5000
Tm 0.0000 0.5000 0.0000
Tm 0.5000 0.0000 0.0000
Tm 0.5000 0.5000 0.5000
Zn 0.2500 0.2500 0.2500
Zn 0.2500 0.7500 0.7500
Zn 0.7500 0.2500 0.7500
Zn 0.7500 0.7500 0.2500
Ni 0.2500 0.2500 0.7500
Ni 0.2500 0.7500 0.2500
Ni 0.7500 0.2500 0.2500
Ni 0.7500 0.7500 0.7500
```

Values from the calculation:
- space-group type = F-43m (216)
- ΔE_f (kJ/mol of formula units) = -121

No. 4
Compound: TbScAlIn
Source: the Alexandria database
Functional: PBE
Structure: optimized geometry Values from VASP.

```
&SYSTEM
  ibrav = 0, nat = 16, ntyp = 4
/
ATOMIC_SPECIES
Tb 158.93 Tb.upf
Sc 44.96 Sc.upf
Al 26.98 Al.upf
In 114.82 In.upf
CELL_PARAMETERS angstrom
7.1892 0.0000 0.0000
0.0000 7.1892 0.0000
0.0000 0.0000 7.1892
ATOMIC_POSITIONS crystal
Tb 0.0000 0.0000 0.0000
Tb 0.0000 0.5000 0.5000
Tb 0.5000 0.0000 0.5000
Tb 0.5000 0.5000 0.0000
Sc 0.0000 0.0000 0.5000
Sc 0.0000 0.5000 0.0000
Sc 0.5000 0.0000 0.0000
Sc 0.5000 0.5000 0.5000
Al 0.2500 0.2500 0.2500
Al 0.2500 0.7500 0.7500
Al 0.7500 0.2500 0.7500
Al 0.7500 0.7500 0.2500
In 0.2500 0.2500 0.7500
In 0.2500 0.7500 0.2500
In 0.7500 0.2500 0.2500
In 0.7500 0.7500 0.7500
```

Values from the calculation:
- space-group type = F-43m (216)
- ΔE_f (kJ/mol of formula units) = -152
- relative energy among the computed polymorphs (eV per atom) = 0.027

No. 5
Compound: CoAsBr2
Source: the Alexandria database
Functional: PBE
Structure: optimized geometry Values from VASP.

```
&SYSTEM
  ibrav = 0, nat = 12, ntyp = 3
/
ATOMIC_SPECIES
Co 58.93 Co.upf
As 74.92 As.upf
Br 79.90 Br.upf
CELL_PARAMETERS angstrom
3.3953 0.0000 0.0000
-1.6976 2.9404 0.0000
0.0000 0.0000 27.6739
ATOMIC_POSITIONS crystal
Co 0.0000 0.0000 0.0000
Co 0.3333 0.6667 0.6667
Co 0.6667 0.3333 0.3333
As 0.0000 0.0000 0.5000
As 0.3333 0.6667 0.1667
As 0.6667 0.3333 0.8333
Br 0.0000 0.0000 0.0816
Br 0.0000 0.0000 0.9184
Br 0.3333 0.6667 0.5851
Br 0.3333 0.6667 0.7482
Br 0.6667 0.3333 0.2518
Br 0.6667 0.3333 0.4149
```

Values from the calculation:
- space-group type = R-3m (166)
- uncorrected formation energy (eV/atom) = 0.577
- relative energy among the computed polymorphs (eV per atom) = 0.657

No. 6
Compound: CdTeO3
Source: the Alexandria database
Functional: PBE
Structure: optimized geometry Values from VASP.

```
&SYSTEM
  ibrav = 0, nat = 5, ntyp = 3
/
ATOMIC_SPECIES
Cd 112.41 Cd.upf
Te 127.60 Te.upf
O 16.00 O.upf
CELL_PARAMETERS angstrom
4.1311 0.0000 0.0000
0.0000 4.1311 0.0000
0.0000 0.0000 4.1311
ATOMIC_POSITIONS crystal
Cd 0.0000 0.0000 0.0000
Te 0.5000 0.5000 0.5000
O 0.0000 0.5000 0.5000
O 0.5000 0.0000 0.5000
O 0.5000 0.5000 0.0000
```

Values from the calculation:
- space-group type = Pm-3m (221)
- uncorrected formation energy (eV/atom) = -0.641